DFT (PBE-GGA) results for crystalline CeDy2Ga4 at its relaxed geometry.

It has space group Immm (No. 71), with a = 4.141 Å, b = 4.314 Å, c = 18.284 Å, α = 90.00°, β = 90.00° and γ = 90.00°. The asymmetric unit holds Ce at (0.000, 0.000, 0.000), Dy at (0.000, 0.500, 0.315), Ga at (0.000, 0.000, 0.432) and Ga at (0.000, 0.500, 0.148).

The formation energy comes out at -0.617 eV/atom. For the density of states at the Fermi level, the calculation gives 8.00 states/eV/f.u.



DFT (PBE-GGA) results for crystalline Cs2TiHgBr6 at its relaxed geometry.

It has space group R-3m (No. 166, hexagonal axes), with a = 7.7005 Å, b = 7.7005 Å, c = 55.7734 Å, α = 90.00°, β = 90.00° and γ = 120.00°. The asymmetric unit holds Cs at (0.0000, 0.0000, 0.1405), Cs at (0.0000, 0.0000, 0.3075), Ti at (0.0000, 0.0000, 0.0000), Ti at (0.0000, 0.0000, 0.5000), Hg at (0.0000, 0.0000, 0.4146), Br at (0.0233, 0.5116, 0.1403) and Br at (0.0235, 0.5118, 0.6931).

Its energy above the most stable polymorph in this dataset is 0.0000 eV/atom.



DFT (PBE-GGA) results for crystalline Pa4ReSi at its relaxed geometry.

It has space group P4/mcc (No. 124), with a = 6.877 Å, b = 6.877 Å, c = 5.699 Å, α = 90.00°, β = 90.00° and γ = 90.00°. The asymmetric unit holds Pa at (0.147, 0.343, 0.000), Re at (0.000, 0.000, 0.250) and Si at (0.500, 0.500, 0.250).

Its energy above the most stable polymorph in this dataset is 0.0000 eV/atom. For the density of states at the Fermi level, the calculation gives 10.70 states/eV/f.u.



DFT (PBE-GGA) results for crystalline DyAs4Rh6 at its relaxed geometry.

It has space group P-6m2 (No. 187), with a = 7.2541 Å, b = 7.2541 Å, c = 3.8399 Å, α = 90.00°, β = 90.00° and γ = 120.00°. The asymmetric unit holds Dy at (0.0000, 0.0000, 0.0000), As at (0.3333, 0.6667, 0.0000), As at (0.3792, 0.1896, 0.5000), Rh at (0.1970, 0.3939, 0.5000) and Rh at (0.5337, 0.0675, 0.0000).

The formation energy comes out at -0.701 eV/atom. For the density of states at the Fermi level, the calculation gives 6.81 states/eV/f.u.



Density across the listed records, respectively: 7.6; 3.5; 14.0; 10.2 g/cm3.